Entry 1:
Crystalline AcCuGeSb at its relaxed geometry, computed with PBE.

Properties
Total magnetization   0.000 μB/atom
ΔE_f (raw)   -163 meV/atom
Crystal system   cubic
Symmetry   No. 216

Unit cell a=5.185 b=5.185 c=5.185 alpha=60.00 beta=60.00 gamma=60.00
Positions (direct):
Ac 0.000 0.000 0.000
Cu 0.750 0.750 0.750
Ge 0.250 0.250 0.250
Sb 0.500 0.500 0.500

Entry 2:
Crystalline La5Fe at its relaxed geometry, computed with PBE.

Properties
Total magnetization   0.000 μB/atom
Crystal system   monoclinic
Symmetry   No. 8
Relative energy among the computed polymorphs   0.00 eV/f.u.

Unit cell a=6.458 b=6.458 c=8.471 alpha=106.20 beta=106.20 gamma=34.03
Positions (direct):
La 0.000 0.000 0.000
La 0.065 0.065 0.424
La 0.385 0.385 0.608
La 0.706 0.706 0.793
La 0.772 0.772 0.217
Fe 0.386 0.386 0.109

Question: Which formula does entry 1 have?
Answer: AcCuGeSb

What did the first record say?
Crystalline AcCuGeSb at its relaxed geometry, computed with PBE.

Properties
Total magnetization   0.000 μB/atom
ΔE_f (raw)   -163 meV/atom
Crystal system   cubic
Symmetry   No. 216

Unit cell a=5.185 b=5.185 c=5.185 alpha=60.00 beta=60.00 gamma=60.00
Positions (direct):
Ac 0.000 0.000 0.000
Cu 0.750 0.750 0.750
Ge 0.250 0.250 0.250
Sb 0.500 0.500 0.500